No. 1
Computed, not measured: a relaxed structure of YNiPt at the PBE level of DFT.

Cell and atoms, written as POSCAR:
```
YNiPt
1.0
-0.643 -4.314 -0.177
2.513 -2.478 -2.569
2.922 -2.717 1.770
Pt Ni Y
1 1 1
direct
0.000 0.000 0.000
0.750 0.750 0.750
0.500 0.500 0.500
```

Calculated values
electronic total energy: -0.2451 Ha/atom
DFT formation energy: -0.5746 eV per atom

---

No. 2
Computed, not measured: a relaxed structure of YNi4Pt8 at the PBE level of DFT.

Cell and atoms, written as POSCAR:
```
YNi4Pt8
1.0
-1.286 3.148 -3.772
2.648 -1.897 -5.904
-5.712 -1.887 -3.048
Pt Y Ni
8 1 4
direct
0.000 0.342 0.658
0.658 0.342 0.342
0.000 0.658 0.342
0.500 0.220 0.780
0.342 0.658 0.658
0.500 0.780 0.220
0.280 0.220 0.220
0.720 0.780 0.780
0.000 0.000 0.000
0.000 0.000 0.500
0.500 0.500 0.000
0.000 0.500 0.000
0.500 0.000 0.500
```

Calculated values
electronic total energy: -0.2323 Ha/atom
DFT formation energy: -0.3290 eV per atom

---

No. 3
Computed, not measured: a relaxed structure of Y3NiPt at the PBE level of DFT.

Cell and atoms, written as POSCAR:
```
Y3NiPt
1.0
5.089 0.000 0.000
0.000 5.089 0.000
0.000 0.000 5.089
Y Pt Ni
3 1 1
direct
0.500 0.000 0.000
0.000 0.500 0.000
0.000 0.000 0.500
0.500 0.500 0.500
0.000 0.000 0.000
```

Calculated values
electronic total energy: -0.2353 Ha/atom
DFT formation energy: -0.1610 eV per atom
E above lowest polymorph: 0.00 eV per formula unit

---

No. 4
Computed, not measured: a relaxed structure of YNi3Pt at the PBE level of DFT.

Cell and atoms, written as POSCAR:
```
YNi3Pt
1.0
4.604 0.000 0.000
0.000 4.604 0.000
0.000 0.000 4.604
Pt Ni Y
1 3 1
direct
0.000 0.000 0.000
0.500 0.000 0.000
0.000 0.000 0.500
0.000 0.500 0.000
0.500 0.500 0.500
```

Calculated values
electronic total energy: -0.2050 Ha/atom
DFT formation energy: 0.3907 eV per atom
E above lowest polymorph: 4.03 eV per formula unit